Record 1
DFT (PBE+U) results for crystalline Ba3MgCo2O6 at its relaxed geometry.

The structure in extended XYZ format:
```
12
Lattice="5.9958 0.0000 0.0000 -2.9979 5.1925 0.0000 0.0000 0.0000 6.8409" Properties=species:S:1:pos:R:3 pbc="T T T"
Ba 0.0000 3.4617 4.5527
Ba 2.9979 1.7308 2.2882
Ba 0.0000 0.0000 0.0000
Mg 0.0000 0.0000 3.4205
Co 2.9979 1.7308 5.2194
Co 0.0000 3.4617 1.6215
O 1.5305 4.3453 2.0962
O 0.0000 1.6944 2.0962
O -1.5305 4.3453 2.0962
O 2.9979 3.4982 4.7447
O 1.4674 0.8472 4.7447
O 4.5284 0.8472 4.7447
```

***

Record 2
DFT (PBE+U) results for crystalline BaMgCoO3 at its relaxed geometry.

The structure in extended XYZ format:
```
12
Lattice="-4.6882 2.1929 -2.1799 0.3990 -3.4993 -4.3781 -3.0856 -1.8344 4.7907" Properties=species:S:1:pos:R:3 pbc="T T T"
Ba -5.0287 -0.2336 -0.2715
Ba -2.3462 -2.9072 -1.4958
Mg -1.4908 0.1523 -0.2576
Mg -5.8840 -3.2931 -1.5097
Co -3.6973 -2.5877 1.7313
Co -3.6775 -0.5531 -3.4987
O -2.5886 -1.2109 0.7320
O 0.0996 -0.8735 -1.0929
O -2.0447 -1.5293 -4.3751
O -2.2445 0.2229 -2.1829
O 0.2994 -2.6257 -3.2852
O -4.7862 -1.9299 -2.4993
```

***

Record 3
DFT (PBE+U) results for crystalline Ba2Mg2Tl2Co3O10 at its relaxed geometry.

The structure in extended XYZ format:
```
19
Lattice="-2.6212 -1.7123 2.2807 2.3907 -3.0746 0.3169 7.7591 9.7901 13.0255" Properties=species:S:1:pos:R:3 pbc="T T T"
Mg 0.8246 0.4925 1.3248
Mg 4.5752 7.2406 14.0437
Tl 4.4755 3.8744 8.1733
Tl 3.3695 0.5196 7.6146
Co 1.1368 -1.3545 3.6520
Co 6.4450 6.0810 12.0966
Co 0.5004 -2.6934 1.1488
Ba 5.4005 2.7973 11.6762
Ba 2.1611 1.9357 4.0877
O 2.4068 -0.4985 2.4719
O 2.2794 -0.1679 5.8781
O -0.0990 0.1567 3.4662
O 3.1742 3.4442 6.4315
O -0.4693 -1.1143 0.8373
O 7.6484 4.5642 12.3148
O 5.2239 4.9700 9.8838
O 5.1395 5.2696 13.2825
O 3.8949 1.8615 9.2964
O -0.5961 -3.7309 2.2594
```

***

The total DFT energy (no corrections) results, record by record, are as follows: -5.798, -5.935, -5.538 eV per atom.
The total moment results, record by record, are as follows: 6.004, 5.962, 2.755 μB/cell.
The calculated volume results, record by record, are as follows: 17.75, 13.90, 14.21 A^3/atom.